Here is a geometry-optimized H3Pd6Se structure from Alexandria. Energies are from PBE.

abc: 2.948 9.945 8.682
angles: 107.28 90.00 90.00
Fractional coordinates of all 20 atoms:
Se (0.250, 0.993, 0.265)
Se (0.750, 0.007, 0.735)
H (0.250, 0.411, 0.485)
H (0.750, 0.406, 0.883)
H (0.250, 0.761, 0.848)
H (0.750, 0.239, 0.152)
H (0.250, 0.594, 0.117)
H (0.750, 0.589, 0.515)
Pd (0.750, 0.696, 0.207)
Pd (0.250, 0.304, 0.793)
Pd (0.750, 0.743, 0.694)
Pd (0.750, 0.400, 0.096)
Pd (0.750, 0.137, 0.527)
Pd (0.250, 0.558, 0.388)
Pd (0.750, 0.442, 0.612)
Pd (0.250, 0.863, 0.473)
Pd (0.250, 0.257, 0.306)
Pd (0.250, 0.122, 0.979)
Pd (0.750, 0.878, 0.021)
Pd (0.250, 0.600, 0.904)

D(E_F)	8.00	states/eV/cell
VASP energy	-4.55	eV/atom
density	9846	kg/m3
SG	P2_1/m, No. 11

=====

Here is a geometry-optimized H2Pd4Se structure from Alexandria. Energies are from PBE.

abc: 5.566 5.555 7.199
angles: 122.20 106.55 86.83
Fractional coordinates of all 14 atoms:
Se (0.154, 0.653, 0.500)
Se (0.096, 0.097, 0.000)
Pd (0.411, 0.213, 0.397)
Pd (0.840, 0.537, 0.103)
Pd (0.404, 0.611, 0.240)
Pd (0.371, 0.163, 0.758)
Pd (0.847, 0.139, 0.260)
Pd (0.432, 0.738, 0.897)
Pd (0.879, 0.587, 0.742)
Pd (0.818, 0.012, 0.603)
H (0.625, 0.375, 0.750)
H (0.625, 0.875, 0.250)
H (0.625, 0.375, 0.251)
H (0.125, 0.374, 0.750)

D(E_F)	5.15	states/eV/cell
VASP energy	-4.47	eV/atom
density	9387	kg/m3
SG	P1, No. 1

=====

Here is a geometry-optimized H2Pd2Se3 structure from Alexandria. Energies are from PBE.

abc: 3.613 7.036 5.530
angles: 104.87 89.98 104.77
Fractional coordinates of all 7 atoms:
Se (0.819, 0.636, 0.337)
Se (0.000, 0.000, 0.000)
Se (0.181, 0.364, 0.663)
Pd (0.597, 0.195, 0.830)
Pd (0.403, 0.805, 0.170)
H (0.109, 0.218, 0.397)
H (0.891, 0.782, 0.603)

D(E_F)	3.28	states/eV/cell
VASP energy	-3.97	eV/atom
density	5723	kg/m3
SG	P-1, No. 2

=====

Here is a geometry-optimized HPd2Se structure from Alexandria. Energies are from PBE.

abc: 4.956 4.956 5.972
angles: 65.48 65.48 90.00
Fractional coordinates of all 8 atoms:
H (0.500, 0.500, 0.000)
H (0.250, 0.750, 0.500)
Se (0.750, 0.250, 0.500)
Se (0.000, 0.000, 0.000)
Pd (0.518, 0.125, 0.250)
Pd (0.875, 0.768, 0.750)
Pd (0.375, 0.482, 0.750)
Pd (0.232, 0.625, 0.250)

D(E_F)	3.94	states/eV/cell
VASP energy	-4.39	eV/atom
density	8186	kg/m3
SG	I-42d, No. 122

=====

Here is a geometry-optimized HPd2Se structure from Alexandria. Energies are from PBE.

abc: 3.124 5.736 6.212
angles: 83.45 77.72 96.50
Fractional coordinates of all 8 atoms:
Se (0.994, 0.181, 0.727)
Se (0.494, 0.680, 0.728)
Pd (0.103, 0.559, 0.412)
Pd (0.874, 0.813, 0.044)
Pd (0.374, 0.313, 0.044)
Pd (0.603, 0.058, 0.412)
H (0.657, 0.513, 0.228)
H (0.157, 0.012, 0.228)

D(E_F)	3.35	states/eV/cell
VASP energy	-4.38	eV/atom
density	9091	kg/m3
SG	P1, No. 1

=====

Here is a geometry-optimized HPd5Se structure from Alexandria. Energies are from PBE.

abc: 6.043 6.043 7.813
angles: 62.60 62.60 68.55
Fractional coordinates of all 14 atoms:
Pd (0.055, 0.945, 0.750)
Pd (0.274, 0.686, 0.453)
Pd (0.945, 0.055, 0.250)
Pd (0.218, 0.249, 0.827)
Pd (0.751, 0.782, 0.673)
Pd (0.314, 0.726, 0.047)
Pd (0.726, 0.314, 0.547)
Pd (0.249, 0.218, 0.327)
Pd (0.686, 0.274, 0.953)
Pd (0.782, 0.751, 0.173)
H (0.000, 0.000, 0.000)
H (0.000, 0.000, 0.500)
Se (0.416, 0.584, 0.750)
Se (0.584, 0.416, 0.250)

D(E_F)	8.27	states/eV/cell
VASP energy	-4.68	eV/atom
density	9219	kg/m3
SG	C2/c, No. 15

=====

Here is a geometry-optimized H2Pd7Se2 structure from Alexandria. Energies are from PBE.

abc: 6.296 4.937 5.146
angles: 88.05 83.48 92.65
Fractional coordinates of all 11 atoms:
Pd (0.598, 0.258, 0.065)
Pd (0.388, 0.250, 0.602)
Pd (0.861, 0.242, 0.517)
Pd (0.139, 0.758, 0.483)
Pd (0.612, 0.750, 0.398)
Pd (0.402, 0.742, 0.935)
Pd (0.000, 0.000, 0.000)
H (0.766, 0.045, 0.248)
H (0.234, 0.955, 0.752)
Se (0.212, 0.359, 0.211)
Se (0.788, 0.641, 0.789)

D(E_F)	6.53	states/eV/cell
VASP energy	-4.68	eV/atom
density	9472	kg/m3
SG	P-1, No. 2

=====

Here is a geometry-optimized H2Pd4Se structure from Alexandria. Energies are from PBE.

abc: 5.818 5.823 6.841
angles: 101.64 101.62 121.91
Fractional coordinates of all 14 atoms:
H (0.677, 0.862, 0.322)
H (0.110, 0.423, 0.824)
H (0.605, 0.289, 0.177)
H (0.536, 0.350, 0.676)
Pd (0.279, 0.607, 0.133)
Pd (0.856, 0.206, 0.278)
Pd (0.847, 0.023, 0.630)
Pd (0.397, 0.224, 0.366)
Pd (0.925, 0.574, 0.726)
Pd (0.828, 0.678, 0.222)
Pd (0.468, 0.144, 0.869)
Pd (0.450, 0.599, 0.775)
Se (0.260, 0.761, 0.501)
Se (0.010, 0.010, 0.999)

D(E_F)	4.54	states/eV/cell
VASP energy	-4.51	eV/atom
density	9402	kg/m3
SG	P1, No. 1

=====

Here is a geometry-optimized HPd6Se structure from Alexandria. Energies are from PBE.

abc: 5.325 5.327 5.685
angles: 62.06 62.05 60.01
Fractional coordinates of all 8 atoms:
Pd (0.290, 0.919, 0.269)
Pd (0.478, 0.710, 0.730)
Pd (0.710, 0.081, 0.731)
Pd (0.919, 0.522, 0.269)
Pd (0.522, 0.290, 0.270)
Pd (0.081, 0.478, 0.731)
H (0.500, 0.500, 0.500)
Se (0.000, 0.000, 0.000)

D(E_F)	3.91	states/eV/cell
VASP energy	-4.82	eV/atom
density	10158	kg/m3
SG	R-3, No. 148

=====

Here is a geometry-optimized HPd2Se structure from Alexandria. Energies are from PBE.

abc: 4.278 4.278 4.278
angles: 60.00 60.00 60.00
Fractional coordinates of all 4 atoms:
H (0.000, 0.000, 0.000)
Pd (0.750, 0.750, 0.750)
Pd (0.250, 0.250, 0.250)
Se (0.500, 0.500, 0.500)

D(E_F)	2.60	states/eV/cell
VASP energy	-3.97	eV/atom
density	8785	kg/m3
SG	Fm-3m, No. 225

=====

Here is a geometry-optimized H2PdSe2 structure from Alexandria. Energies are from PBE.

abc: 4.674 3.778 7.439
angles: 93.46 90.00 128.22
Fractional coordinates of all 5 atoms:
Pd (0.000, 0.000, 0.000)
Se (0.373, 0.746, 0.861)
Se (0.627, 0.254, 0.139)
H (0.027, 0.055, 0.456)
H (0.973, 0.945, 0.544)

D(E_F)	0.74	states/eV/cell
VASP energy	-3.83	eV/atom
density	4298	kg/m3
SG	C2/m, No. 12

=====

Here is a geometry-optimized HPd4Se structure from Alexandria. Energies are from PBE.

abc: 6.252 6.252 6.252
angles: 107.78 107.78 112.91
Fractional coordinates of all 12 atoms:
Pd (0.724, 0.543, 0.181)
Pd (0.705, 0.401, 0.696)
Pd (0.293, 0.974, 0.681)
Pd (0.151, 0.955, 0.196)
Pd (0.759, 0.955, 0.804)
Pd (0.293, 0.612, 0.319)
Pd (0.705, 0.009, 0.304)
Pd (0.362, 0.543, 0.819)
H (0.768, 0.768, 0.000)
H (0.518, 0.018, 0.500)
Se (0.986, 0.486, 0.500)
Se (0.236, 0.236, 0.000)

D(E_F)	5.11	states/eV/cell
VASP energy	-4.58	eV/atom
density	8950	kg/m3
SG	I4_1md, No. 109

=====

Here is a geometry-optimized H2Pd3Se4 structure from Alexandria. Energies are from PBE.

abc: 6.390 7.043 6.575
angles: 80.71 60.94 63.21
Fractional coordinates of all 9 atoms:
Se (0.974, 0.296, 0.754)
Se (0.303, 0.665, 0.729)
Se (0.697, 0.335, 0.271)
Se (0.026, 0.704, 0.246)
Pd (0.500, 0.500, 0.000)
Pd (0.000, 0.000, 0.000)
Pd (0.000, 0.500, 0.000)
H (0.110, 0.287, 0.491)
H (0.890, 0.713, 0.509)

VASP energy	-4.08	eV/atom
density	4594	kg/m3
SG	P-1, No. 2

=====

Here is a geometry-optimized HPd4Se structure from Alexandria. Energies are from PBE.

abc: 5.187 6.548 5.301
angles: 103.29 85.18 104.76
Fractional coordinates of all 12 atoms:
Pd (0.724, 0.465, 0.079)
Pd (0.874, 0.164, 0.652)
Pd (0.276, 0.535, 0.921)
Pd (0.710, 0.938, 0.097)
Pd (0.126, 0.836, 0.348)
Pd (0.290, 0.062, 0.903)
Pd (0.441, 0.262, 0.457)
Pd (0.559, 0.738, 0.543)
Se (0.045, 0.288, 0.243)
Se (0.955, 0.712, 0.757)
H (0.425, 0.737, 0.229)
H (0.575, 0.263, 0.771)

D(E_F)	5.45	states/eV/cell
VASP energy	-4.72	eV/atom
density	9913	kg/m3
SG	P-1, No. 2

=====

Here is a geometry-optimized HPd2Se structure from Alexandria. Energies are from PBE.

abc: 3.183 3.183 6.432
angles: 75.68 75.68 60.00
Fractional coordinates of all 4 atoms:
Pd (0.263, 0.263, 0.211)
Pd (0.049, 0.049, 0.854)
H (0.688, 0.688, 0.937)
Se (0.501, 0.501, 0.498)

D(E_F)	1.44	states/eV/cell
VASP energy	-4.33	eV/atom
density	8992	kg/m3
SG	R3m, No. 160

=====

Here is a geometry-optimized H2Pd5Se2 structure from Alexandria. Energies are from PBE.

abc: 2.917 6.733 6.957
angles: 97.89 90.00 102.51
Fractional coordinates of all 9 atoms:
Pd (0.688, 0.375, 0.116)
Pd (0.312, 0.625, 0.884)
Pd (0.085, 0.171, 0.398)
Pd (0.000, 0.000, 0.000)
Pd (0.915, 0.829, 0.602)
Se (0.877, 0.753, 0.241)
Se (0.123, 0.247, 0.759)
H (0.660, 0.321, 0.357)
H (0.340, 0.679, 0.643)

D(E_F)	4.99	states/eV/cell
VASP energy	-4.48	eV/atom
density	8702	kg/m3
SG	C2/m, No. 12

=====

Here is a geometry-optimized HPd4Se2 structure from Alexandria. Energies are from PBE.

abc: 6.761 6.748 6.734
angles: 119.11 119.36 91.05
Fractional coordinates of all 14 atoms:
Se (0.584, 0.310, 0.188)
Se (0.604, 0.418, 0.726)
Se (0.121, 0.394, 0.815)
Se (0.691, 0.878, 0.271)
Pd (0.965, 0.180, 0.294)
Pd (0.331, 0.080, 0.661)
Pd (0.327, 0.667, 0.749)
Pd (0.819, 0.112, 0.781)
Pd (0.887, 0.671, 0.709)
Pd (0.420, 0.671, 0.340)
Pd (0.330, 0.038, 0.216)
Pd (0.920, 0.580, 0.250)
H (0.000, 0.000, 0.000)
H (0.250, 0.750, 0.500)

D(E_F)	9.37	states/eV/cell
VASP energy	-4.52	eV/atom
density	8816	kg/m3
SG	P1, No. 1

=====

Here is a geometry-optimized H2Pd6Se structure from Alexandria. Energies are from PBE.

abc: 4.129 5.467 6.245
angles: 82.39 70.69 67.81
Fractional coordinates of all 9 atoms:
Pd (0.683, 0.789, 0.844)
Pd (0.349, 0.797, 0.505)
Pd (0.970, 0.214, 0.846)
Pd (0.651, 0.203, 0.495)
Pd (0.030, 0.786, 0.154)
Pd (0.317, 0.211, 0.156)
H (0.836, 0.165, 0.163)
H (0.164, 0.835, 0.837)
Se (0.000, 0.500, 0.500)

D(E_F)	4.69	states/eV/cell
VASP energy	-4.65	eV/atom
density	9700	kg/m3
SG	C2/m, No. 12

=====

Here is a geometry-optimized HPd5Se structure from Alexandria. Energies are from PBE.

abc: 5.329 7.271 11.738
angles: 90.00 90.00 117.61
Fractional coordinates of all 28 atoms:
Pd (0.392, 0.954, 0.678)
Pd (0.108, 0.546, 0.178)
Pd (0.302, 0.313, 0.930)
Pd (0.939, 0.114, 0.117)
Pd (0.962, 0.838, 0.281)
Pd (0.833, 0.460, 0.398)
Pd (0.462, 0.338, 0.219)
Pd (0.892, 0.454, 0.822)
Pd (0.333, 0.960, 0.102)
Pd (0.061, 0.886, 0.883)
Pd (0.561, 0.386, 0.617)
Pd (0.038, 0.162, 0.719)
Pd (0.167, 0.540, 0.602)
Pd (0.667, 0.040, 0.898)
Pd (0.802, 0.813, 0.570)
Pd (0.439, 0.614, 0.383)
Pd (0.698, 0.687, 0.070)
Pd (0.538, 0.662, 0.781)
Pd (0.608, 0.046, 0.322)
Pd (0.198, 0.187, 0.430)
Se (0.199, 0.816, 0.460)
Se (0.301, 0.684, 0.960)
Se (0.699, 0.316, 0.040)
Se (0.801, 0.184, 0.540)
H (0.469, 0.595, 0.225)
H (0.531, 0.405, 0.775)
H (0.969, 0.095, 0.275)
H (0.031, 0.905, 0.725)

D(E_F)	16.44	states/eV/cell
VASP energy	-4.77	eV/atom
density	10088	kg/m3
SG	P2_1/c, No. 14

=====

Here is a geometry-optimized HPd2Se structure from Alexandria. Energies are from PBE.

abc: 4.341 4.341 5.188
angles: 65.27 65.27 60.00
Fractional coordinates of all 4 atoms:
Se (0.500, 0.500, 0.500)
Pd (0.123, 0.123, 0.631)
Pd (0.877, 0.877, 0.369)
H (0.000, 0.000, 0.000)

D(E_F)	2.13	states/eV/cell
VASP energy	-4.27	eV/atom
density	6559	kg/m3
SG	R-3m, No. 166